First-principles (PBE with a Hubbard U) data for a geometry-optimized VGaBi2F structure, as listed in Alexandria via LeMat-Bulk.

Summary:
Energy = -20.2 eV per cell
M_tot = 3.43 μB/cell

```
5
Lattice="5.655 0.000 0.000 0.000 5.655 0.000 0.000 0.000 3.899" Properties=species:S:1:pos:R:3 pbc="T T T"
V 0.000 0.000 0.000
Ga 2.827 2.827 1.950
Bi 0.000 2.827 1.950
Bi 2.827 0.000 1.950
F 2.827 2.827 0.000
```